1.
# Er5Tl4Pt PBE optimized geometry
data_Er5Tl4Pt
_chemical_formula_sum 'Er5 Tl4 Pt1'
_cell_length_a 5.672
_cell_length_b 7.651
_cell_length_c 7.651
_cell_angle_alpha 82.10
_cell_angle_beta 68.24
_cell_angle_gamma 68.24
_space_group_name_H-M_alt 'P 1'
_space_group_IT_number 1
loop_
_space_group_symop_operation_xyz
'x,y,z'
loop_
_atom_site_label
_atom_site_type_symbol
_atom_site_fract_x
_atom_site_fract_y
_atom_site_fract_z
Er1 Er 0.861 0.368 0.913
Er2 Er 0.228 0.913 0.632
Er3 Er 0.773 0.087 0.368
Er4 Er 0.141 0.632 0.087
Er5 Er 0.501 0.000 0.000
Tl1 Tl 0.460 0.379 0.702
Tl2 Tl 0.840 0.702 0.621
Tl3 Tl 0.162 0.298 0.379
Tl4 Tl 0.541 0.621 0.298
Pt1 Pt 0.002 0.000 0.000
# - Space-group type: I4/m
# - V: 286.5 Å³ per cell
# - D(E_F): 9.2 states/eV/cell
# - Formation energy: -0.3364 eV/atom

2.
# Cs2TaTiCl6 PBE optimized geometry
data_Cs2TaTiCl6
_chemical_formula_sum 'Cs2 Ta1 Ti1 Cl6'
_cell_length_a 7.300
_cell_length_b 7.300
_cell_length_c 7.303
_cell_angle_alpha 60.02
_cell_angle_beta 60.02
_cell_angle_gamma 90.00
_space_group_name_H-M_alt 'P 1'
_space_group_IT_number 1
loop_
_space_group_symop_operation_xyz
'x,y,z'
loop_
_atom_site_label
_atom_site_type_symbol
_atom_site_fract_x
_atom_site_fract_y
_atom_site_fract_z
Cs1 Cs 0.750 0.250 0.500
Cs2 Cs 0.250 0.750 0.500
Cl1 Cl 0.247 0.247 0.506
Cl2 Cl 0.753 0.753 0.494
Cl3 Cl 0.247 0.247 0.000
Cl4 Cl 0.753 0.753 0.000
Cl5 Cl 0.753 0.247 0.000
Cl6 Cl 0.247 0.753 0.000
Ti1 Ti 0.500 0.500 0.000
Ta1 Ta 0.000 0.000 0.000
# - Space-group type: Fm-3m
# - V: 275.3 Å³ per cell
# - D(E_F): 5.3 states/eV/cell
# - ΔE_f (raw): -124.3 kJ/mol of atoms

3.
# GdHgCl3 PBE optimized geometry
data_GdHgCl3
_chemical_formula_sum 'Gd1 Hg1 Cl3'
_cell_length_a 5.399
_cell_length_b 5.399
_cell_length_c 5.399
_cell_angle_alpha 90.00
_cell_angle_beta 90.00
_cell_angle_gamma 90.00
_space_group_name_H-M_alt 'P 1'
_space_group_IT_number 1
loop_
_space_group_symop_operation_xyz
'x,y,z'
loop_
_atom_site_label
_atom_site_type_symbol
_atom_site_fract_x
_atom_site_fract_y
_atom_site_fract_z
Gd1 Gd 0.000 0.000 0.000
Hg1 Hg 0.500 0.500 0.500
Cl1 Cl 0.000 0.500 0.000
Cl2 Cl 0.000 0.000 0.500
Cl3 Cl 0.500 0.000 0.000
# - Space-group type: Pm-3m
# - V: 157.4 Å³ per cell
# - ΔE_f (raw): -165.4 kJ/mol of atoms

4.
# MgAl9Pd3 PBE optimized geometry
data_MgAl9Pd3
_chemical_formula_sum 'Mg1 Al9 Pd3'
_cell_length_a 5.321
_cell_length_b 6.839
_cell_length_c 6.863
_cell_angle_alpha 81.76
_cell_angle_beta 67.19
_cell_angle_gamma 68.30
_space_group_name_H-M_alt 'P 1'
_space_group_IT_number 1
loop_
_space_group_symop_operation_xyz
'x,y,z'
loop_
_atom_site_label
_atom_site_type_symbol
_atom_site_fract_x
_atom_site_fract_y
_atom_site_fract_z
Mg1 Mg 0.000 0.000 0.000
Al1 Al 0.713 0.787 0.781
Al2 Al 0.287 0.213 0.219
Al3 Al 0.506 0.213 0.781
Al4 Al 0.494 0.787 0.219
Al5 Al 0.655 0.343 0.352
Al6 Al 0.345 0.657 0.648
Al7 Al 0.993 0.657 0.352
Al8 Al 0.007 0.343 0.648
Al9 Al 0.000 0.500 0.000
Pd1 Pd 0.500 0.500 0.000
Pd2 Pd 0.000 0.000 0.500
Pd3 Pd 0.500 0.000 0.500
# - Space-group type: C2/m
# - V: 213.9 Å³ per cell
# - D(E_F): 3.8 states/eV/cell
# - Formation energy: -0.4039 eV/atom

5.
# TaAg2Br PBE optimized geometry
data_TaAg2Br
_chemical_formula_sum 'Ta1 Ag2 Br1'
_cell_length_a 4.732
_cell_length_b 4.732
_cell_length_c 4.732
_cell_angle_alpha 60.00
_cell_angle_beta 60.00
_cell_angle_gamma 60.00
_space_group_name_H-M_alt 'P 1'
_space_group_IT_number 1
loop_
_space_group_symop_operation_xyz
'x,y,z'
loop_
_atom_site_label
_atom_site_type_symbol
_atom_site_fract_x
_atom_site_fract_y
_atom_site_fract_z
Br1 Br 0.500 0.500 0.500
Ag1 Ag 0.000 0.000 0.000
Ag2 Ag 0.250 0.250 0.250
Ta1 Ta 0.750 0.750 0.750
# - Space-group type: F-43m
# - V: 74.9 Å³ per cell
# - D(E_F): 2.5 states/eV/cell
# - ΔE_f (raw): 71.7 kJ/mol of atoms

6.
# TiNiHOs2 PBE optimized geometry
data_TiNiHOs2
_chemical_formula_sum 'Ti1 Ni1 H1 Os2'
_cell_length_a 3.924
_cell_length_b 3.924
_cell_length_c 3.710
_cell_angle_alpha 90.00
_cell_angle_beta 90.00
_cell_angle_gamma 90.00
_space_group_name_H-M_alt 'P 1'
_space_group_IT_number 1
loop_
_space_group_symop_operation_xyz
'x,y,z'
loop_
_atom_site_label
_atom_site_type_symbol
_atom_site_fract_x
_atom_site_fract_y
_atom_site_fract_z
Ni1 Ni 0.000 0.000 0.500
Os1 Os 0.000 0.500 0.000
Os2 Os 0.500 0.000 0.000
H1 H 0.000 0.000 0.000
Ti1 Ti 0.500 0.500 0.500
# - E_tot: -8.057 eV per atom
# - Space-group type: P4/mmm
# - V: 57.1 Å³ per cell
# - D(E_F): 3.6 states/eV/cell

7.
# Ac2In8Pt PBE optimized geometry
data_Ac2In8Pt
_chemical_formula_sum 'Ac2 In8 Pt1'
_cell_length_a 4.866
_cell_length_b 4.866
_cell_length_c 12.787
_cell_angle_alpha 90.00
_cell_angle_beta 90.00
_cell_angle_gamma 90.00
_space_group_name_H-M_alt 'P 1'
_space_group_IT_number 1
loop_
_space_group_symop_operation_xyz
'x,y,z'
loop_
_atom_site_label
_atom_site_type_symbol
_atom_site_fract_x
_atom_site_fract_y
_atom_site_fract_z
Ac1 Ac 0.000 0.000 0.303
Ac2 Ac 0.000 0.000 0.697
In1 In 0.000 0.500 0.500
In2 In 0.500 0.000 0.500
In3 In 0.500 0.500 0.309
In4 In 0.500 0.500 0.691
In5 In 0.000 0.500 0.117
In6 In 0.500 0.000 0.117
In7 In 0.000 0.500 0.883
In8 In 0.500 0.000 0.883
Pt1 Pt 0.000 0.000 0.000
# - Space-group type: P4/mmm
# - V: 302.8 Å³ per cell
# - D(E_F): 6.6 states/eV/cell
# - Formation energy: -0.4224 eV/atom

8.
# ZrAsCl2 PBE optimized geometry
data_ZrAsCl2
_chemical_formula_sum 'Zr1 As1 Cl2'
_cell_length_a 9.153
_cell_length_b 9.153
_cell_length_c 9.153
_cell_angle_alpha 21.54
_cell_angle_beta 21.54
_cell_angle_gamma 21.54
_space_group_name_H-M_alt 'P 1'
_space_group_IT_number 1
loop_
_space_group_symop_operation_xyz
'x,y,z'
loop_
_atom_site_label
_atom_site_type_symbol
_atom_site_fract_x
_atom_site_fract_y
_atom_site_fract_z
As1 As 0.757 0.757 0.757
Zr1 Zr 0.498 0.498 0.498
Cl1 Cl 0.016 0.016 0.016
Cl2 Cl 0.229 0.229 0.229
# - Space-group type: R3m
# - V: 90.6 Å³ per cell
# - D(E_F): 1.7 states/eV/cell
# - ΔE_f (raw): -69.3 kJ/mol of atoms

9.
# YTl2Bi2 PBE optimized geometry
data_YTl2Bi2
_chemical_formula_sum 'Y2 Tl4 Bi4'
_cell_length_a 8.530
_cell_length_b 8.530
_cell_length_c 4.219
_cell_angle_alpha 90.00
_cell_angle_beta 90.00
_cell_angle_gamma 90.00
_space_group_name_H-M_alt 'P 1'
_space_group_IT_number 1
loop_
_space_group_symop_operation_xyz
'x,y,z'
loop_
_atom_site_label
_atom_site_type_symbol
_atom_site_fract_x
_atom_site_fract_y
_atom_site_fract_z
Y1 Y 0.000 0.000 0.000
Y2 Y 0.500 0.500 0.000
Tl1 Tl 0.365 0.865 0.000
Tl2 Tl 0.865 0.635 0.000
Tl3 Tl 0.635 0.135 0.000
Tl4 Tl 0.135 0.365 0.000
Bi1 Bi 0.165 0.665 0.500
Bi2 Bi 0.665 0.835 0.500
Bi3 Bi 0.835 0.335 0.500
Bi4 Bi 0.335 0.165 0.500
# - Space-group type: P4/mbm
# - V: 307.0 Å³ per cell
# - D(E_F): 9.9 states/eV/cell
# - Formation energy: -0.0335 eV/atom

10.
# Cs2Sr2Sn PBE optimized geometry
data_Cs2Sr2Sn
_chemical_formula_sum 'Cs4 Sr4 Sn2'
_cell_length_a 8.965
_cell_length_b 8.965
_cell_length_c 7.619
_cell_angle_alpha 90.00
_cell_angle_beta 90.00
_cell_angle_gamma 90.00
_space_group_name_H-M_alt 'P 1'
_space_group_IT_number 1
loop_
_space_group_symop_operation_xyz
'x,y,z'
loop_
_atom_site_label
_atom_site_type_symbol
_atom_site_fract_x
_atom_site_fract_y
_atom_site_fract_z
Cs1 Cs 0.189 0.689 0.500
Cs2 Cs 0.689 0.811 0.500
Cs3 Cs 0.811 0.311 0.500
Cs4 Cs 0.311 0.189 0.500
Sr1 Sr 0.332 0.832 0.000
Sr2 Sr 0.832 0.668 0.000
Sr3 Sr 0.668 0.168 0.000
Sr4 Sr 0.168 0.332 0.000
Sn1 Sn 0.000 0.000 0.000
Sn2 Sn 0.500 0.500 0.000
# - Space-group type: P4/mbm
# - V: 612.4 Å³ per cell
# - D(E_F): 5.0 states/eV/cell
# - Formation energy: -0.0563 eV/atom

11.
# Nd5ThRu4 PBE optimized geometry
data_Nd5ThRu4
_chemical_formula_sum 'Nd5 Th1 Ru4'
_cell_length_a 4.007
_cell_length_b 7.934
_cell_length_c 9.154
_cell_angle_alpha 90.21
_cell_angle_beta 102.64
_cell_angle_gamma 90.00
_space_group_name_H-M_alt 'P 1'
_space_group_IT_number 1
loop_
_space_group_symop_operation_xyz
'x,y,z'
loop_
_atom_site_label
_atom_site_type_symbol
_atom_site_fract_x
_atom_site_fract_y
_atom_site_fract_z
Nd1 Nd 0.843 0.761 0.686
Nd2 Nd 0.844 0.237 0.687
Nd3 Nd 0.156 0.763 0.313
Nd4 Nd 0.500 0.500 0.000
Nd5 Nd 0.157 0.239 0.314
Th1 Th 0.500 0.000 0.000
Ru1 Ru 0.304 0.999 0.608
Ru2 Ru 0.000 0.755 0.999
Ru3 Ru 0.696 0.001 0.392
Ru4 Ru 0.000 0.245 0.001
# - Space-group type: C2/m
# - V: 284.0 Å³ per cell
# - D(E_F): 7.6 states/eV/cell
# - Formation energy: -0.1321 eV/atom

12.
# EuURu4 PBE optimized geometry
data_EuURu4
_chemical_formula_sum 'Eu1 U1 Ru4'
_cell_length_a 5.330
_cell_length_b 5.330
_cell_length_c 5.330
_cell_angle_alpha 60.00
_cell_angle_beta 60.00
_cell_angle_gamma 60.00
_space_group_name_H-M_alt 'P 1'
_space_group_IT_number 1
loop_
_space_group_symop_operation_xyz
'x,y,z'
loop_
_atom_site_label
_atom_site_type_symbol
_atom_site_fract_x
_atom_site_fract_y
_atom_site_fract_z
Eu1 Eu 0.000 0.000 0.000
Ru1 Ru 0.625 0.625 0.126
Ru2 Ru 0.625 0.126 0.625
Ru3 Ru 0.625 0.625 0.625
Ru4 Ru 0.126 0.625 0.625
U1 U 0.250 0.250 0.250
# - Space-group type: F-43m
# - V: 107.1 Å³ per cell
# - D(E_F): 11.2 states/eV/cell
# - Formation energy: 0.0033 eV/atom